Entry 1:
Compound: TaInP2O
Source: Alexandria via LeMat-Bulk
Functional: GGA-PBE
Structure: optimized geometry

Output
Energy relative to the elements, uncorrected ... -0.59 eV/atom

```
TaInP2O
1.0
5.0679 0.0000 0.0000
0.0000 5.0679 0.0000
0.0000 0.0000 3.9068
Ta In P O
1 1 2 1
Direct
0.0000 0.0000 0.0000
0.5000 0.5000 0.5000
0.0000 0.5000 0.0000
0.5000 0.0000 0.0000
0.0000 0.0000 0.5000
```

***

Entry 2:
Compound: HfBe3V
Source: Alexandria via LeMat-Bulk
Functional: GGA-PBE
Structure: optimized geometry

Output
ΔH_f (0 K) ... 1.901 eV/atom

```
HfBe3V
1.0
4.5292 0.0000 0.0000
0.0000 4.5292 0.0000
0.0000 0.0000 4.5292
Hf Be V
1 3 1
Direct
0.0000 0.0000 0.0000
0.0000 0.0000 0.5000
0.0000 0.5000 0.0000
0.5000 0.0000 0.0000
0.5000 0.5000 0.5000
```

***

Entry 3:
Compound: RbTlF2
Source: Alexandria via LeMat-Bulk
Functional: GGA-PBE
Structure: optimized geometry

Output
Energy relative to the elements, uncorrected ... -2.04 eV/atom

```
RbTlF2
1.0
4.1418 0.0000 0.0000
-2.0709 3.5869 0.0000
0.0000 0.0000 23.7572
Rb Tl F
3 3 6
Direct
0.0000 0.0000 0.0000
0.3333 0.6667 0.6667
0.6667 0.3333 0.3333
0.0000 0.0000 0.5000
0.3333 0.6667 0.1667
0.6667 0.3333 0.8333
0.0000 0.0000 0.3989
0.0000 0.0000 0.6011
0.3333 0.6667 0.0656
0.3333 0.6667 0.2677
0.6667 0.3333 0.7323
0.6667 0.3333 0.9344
```